one.
The following is a DFT calculation (PBE) of crystalline ScReNi2 at its relaxed geometry.

POSCAR file:
```
ScReNi2
1.0
-1.3788 2.2197 4.5944
1.3788 -2.2197 4.5944
1.3788 2.2197 -4.5944
Sc Re Ni
1 1 2
direct
0.0000 0.0000 0.0000
0.2771 0.7771 0.5000
0.5130 0.5130 0.0000
0.7363 0.2363 0.5000
```

Total moment: 0.00 μB/f.u.
ρ: 10.29 Mg/m³
Symmetry: Imm2
N(E_F): 5.3 states/eV/cell

=====

two.
The following is a DFT calculation (PBE) of crystalline ScReNi2 at its relaxed geometry.

POSCAR file:
```
ScReNi2
1.0
2.7342 0.0000 0.0000
0.0000 4.3045 0.0000
-0.4503 0.0000 4.7136
Sc Re Ni
1 1 2
direct
0.0000 0.0000 0.0000
0.1542 0.5000 0.6144
0.5586 0.5000 0.1503
0.5630 0.0000 0.4841
```

Total moment: 0.00 μB/f.u.
ρ: 10.43 Mg/m³
Symmetry: Pm
N(E_F): 4.2 states/eV/cell

=====

three.
The following is a DFT calculation (PBE) of crystalline ScReNi2 at its relaxed geometry.

POSCAR file:
```
ScReNi2
1.0
1.3990 0.8077 8.5026
-1.3990 0.8077 8.5026
0.0000 -1.6154 8.5026
Sc Re Ni
1 1 2
direct
0.0000 0.0000 0.0000
0.2367 0.2367 0.2367
0.4926 0.4926 0.4926
0.7495 0.7495 0.7495
```

Total moment: 0.06 μB/f.u.
ρ: 10.04 Mg/m³
Symmetry: R3m
N(E_F): 6.9 states/eV/cell

=====

Relative energies, eV/atom: one 0.117; two 0.000; three 0.343.

=====

one.
The following is a DFT calculation (PBE) of crystalline ScReNi2 at its relaxed geometry.

POSCAR file:
```
ScReNi2
1.0
4.6820 0.0000 0.0000
0.0000 2.6676 0.0000
-1.9310 0.0000 4.5333
Sc Re Ni
1 1 2
direct
0.0000 0.0000 0.0000
0.0000 0.5000 0.5000
0.5000 0.0000 0.5000
0.5000 0.5000 0.0000
```

Total moment: 0.00 μB/f.u.
ρ: 10.22 Mg/m³
Symmetry: P2/m
N(E_F): 3.6 states/eV/cell

=====

two.
The following is a DFT calculation (PBE) of crystalline ScReNi2 at its relaxed geometry.

POSCAR file:
```
ScReNi2
1.0
-1.8544 1.8544 4.1080
1.8544 -1.8544 4.1080
1.8544 1.8544 -4.1080
Sc Re Ni
1 1 2
direct
0.0000 0.0000 0.0000
0.7500 0.2500 0.5000
0.2500 0.7500 0.5000
0.5000 0.5000 0.0000
```

Total moment: 1.58 μB/f.u.
ρ: 10.24 Mg/m³
Symmetry: I-4m2
N(E_F): 4.4 states/eV/cell

=====

three.
The following is a DFT calculation (PBE) of crystalline ScReNi2 at its relaxed geometry.

POSCAR file:
```
ScReNi2
1.0
3.9582 0.0000 0.0000
0.0000 3.9582 0.0000
0.0000 0.0000 3.5728
Sc Re Ni
1 1 2
direct
0.0000 0.0000 0.0000
0.5000 0.5000 0.0000
0.0000 0.5000 0.5000
0.5000 0.0000 0.5000
```

Total moment: 1.07 μB/f.u.
ρ: 10.34 Mg/m³
Symmetry: P4/mmm
N(E_F): 6.3 states/eV/cell

=====

Relative energies, eV/atom: one 0.089; two 0.081; three 0.000.

=====

one.
The following is a DFT calculation (PBE) of crystalline ReNiSe2 at its relaxed geometry.

POSCAR file:
```
ReNiSe2
1.0
3.0373 0.0000 0.0000
0.0000 3.9866 0.0000
0.0000 0.0000 5.4021
Re Ni Se
1 1 2
direct
0.0000 0.0000 0.0000
0.5000 0.0000 0.5000
0.0000 0.5000 0.5000
0.5000 0.5000 0.0000
```

Total moment: 0.00 μB/f.u.
ρ: 10.23 Mg/m³
Symmetry: Pmmm
N(E_F): 4.6 states/eV/cell

=====

two.
The following is a DFT calculation (PBE) of crystalline ReNiSe2 at its relaxed geometry.

POSCAR file:
```
ReNiSe2
1.0
3.1348 0.0000 0.0000
0.0000 3.1348 0.0000
0.0000 0.0000 7.7307
Re Ni Se
1 1 2
direct
0.0000 0.0000 0.0000
0.5000 0.5000 0.7949
0.0000 0.0000 0.6713
0.5000 0.5000 0.1831
```

Total moment: 0.00 μB/f.u.
ρ: 8.81 Mg/m³
Symmetry: P4mm
N(E_F): 2.2 states/eV/cell

=====

Relative energies, eV/atom: one 0.727; two 0.000.

=====

one.
The following is a DFT calculation (PBE) of crystalline ReNiSe2 at its relaxed geometry.

POSCAR file:
```
ReNiSe2
1.0
-1.8665 1.8665 4.4080
1.8665 -1.8665 4.4080
1.8665 1.8665 -4.4080
Re Ni Se
1 1 2
direct
0.0000 0.0000 0.0000
0.7500 0.2500 0.5000
0.2500 0.7500 0.5000
0.5000 0.5000 0.0000
```

Total moment: 0.00 μB/f.u.
ρ: 10.89 Mg/m³
Symmetry: I-4m2
N(E_F): 2.9 states/eV/cell

=====

two.
The following is a DFT calculation (PBE) of crystalline ReNiSe2 at its relaxed geometry.

POSCAR file:
```
ReNiSe2
1.0
3.0989 0.0000 0.0000
0.0000 3.0989 0.0000
0.0000 0.0000 6.2435
Re Ni Se
1 1 2
direct
0.0000 0.0000 0.0000
0.0000 0.0000 0.5000
0.5000 0.5000 0.2513
0.5000 0.5000 0.7487
```

Total moment: 0.00 μB/f.u.
ρ: 11.16 Mg/m³
Symmetry: P4/mmm
N(E_F): 2.9 states/eV/cell

=====

Relative energies, eV/atom: one 0.379; two 0.000.

=====

one.
The following is a DFT calculation (PBE) of crystalline ReNiSe2 at its relaxed geometry.

POSCAR file:
```
ReNiSe2
1.0
3.9543 -1.5833 0.0000
3.9543 1.5833 0.0000
-0.6620 0.0000 5.1585
Re Ni Se
1 1 2
direct
0.0000 0.0000 0.0000
0.5000 0.5000 0.5000
0.2820 0.2820 0.7619
0.7180 0.7180 0.2381
```

Total moment: 0.00 μB/f.u.
ρ: 10.36 Mg/m³
Symmetry: C2/m
N(E_F): 3.3 states/eV/cell

=====

two.
The following is a DFT calculation (PBE) of crystalline ReNiSe2 at its relaxed geometry.

POSCAR file:
```
ReNiSe2
1.0
-1.7582 1.9137 6.5793
1.7582 -1.9137 6.5793
1.7582 1.9137 -6.5793
Re Ni Se
1 1 2
direct
0.0000 0.0000 0.0000
0.5000 0.5000 0.0000
0.3721 0.8721 0.5000
0.6279 0.1279 0.5000
```

Total moment: 1.83 μB/f.u.
ρ: 7.55 Mg/m³
Symmetry: Immm
N(E_F): 2.6 states/eV/cell

=====

Relative energies, eV/atom: one 0.179; two 0.000.

=====

one.
The following is a DFT calculation (PBE) of crystalline ReNiSe2 at its relaxed geometry.

POSCAR file:
```
ReNiSe2
1.0
3.7614 -1.5898 0.0000
3.7614 1.5898 0.0000
-1.1310 0.0000 6.5625
Re Ni Se
1 1 2
direct
0.0000 0.0000 0.0000
0.7576 0.7576 0.2369
0.2716 0.2716 0.8199
0.4796 0.4796 0.3127
```

Total moment: 0.00 μB/f.u.
ρ: 8.52 Mg/m³
Symmetry: Cm
N(E_F): 3.3 states/eV/cell

=====

two.
The following is a DFT calculation (PBE) of crystalline ReNiSe2 at its relaxed geometry.

POSCAR file:
```
ReNiSe2
1.0
2.6322 0.0000 0.0000
0.0000 4.1464 0.0000
-0.0366 0.0000 6.0923
Re Ni Se
1 1 2
direct
0.0000 0.0000 0.0000
0.0000 0.0000 0.5000
0.0033 0.5000 0.7450
0.9967 0.5000 0.2550
```

Total moment: 0.00 μB/f.u.
ρ: 10.06 Mg/m³
Symmetry: P2/m
N(E_F): 4.3 states/eV/cell

=====

three.
The following is a DFT calculation (PBE) of crystalline ReNiSe2 at its relaxed geometry.

POSCAR file:
```
ReNiSe2
1.0
1.5551 -2.3850 0.0000
1.5551 2.3850 0.0000
0.0000 0.0000 9.6669
Re Ni Se
1 1 2
direct
0.0000 0.0000 0.0000
0.5000 0.5000 0.2110
0.0000 0.0000 0.4019
0.5000 0.5000 0.7910
```

Total moment: 0.00 μB/f.u.
ρ: 9.33 Mg/m³
Symmetry: Cmm2
N(E_F): 3.6 states/eV/cell

=====

four.
The following is a DFT calculation (PBE) of crystalline ReNiSe2 at its relaxed geometry.

POSCAR file:
```
ReNiSe2
1.0
-1.6194 1.6972 6.8999
1.6194 -1.6972 6.8999
1.6194 1.6972 -6.8999
Re Ni Se
1 1 2
direct
0.0000 0.0000 0.0000
0.3616 0.8616 0.5000
0.5883 0.5883 0.0000
0.8480 0.3480 0.5000
```

Total moment: 0.00 μB/f.u.
ρ: 8.82 Mg/m³
Symmetry: Imm2
N(E_F): 4.3 states/eV/cell

=====

Relative energies, eV/atom: one 0.000; two 0.452; three 0.297; four 0.036.

=====

one.
The following is a DFT calculation (PBE) of crystalline ReNiSe2 at its relaxed geometry.

POSCAR file:
```
ReNiSe2
1.0
0.0000 3.1120 3.1120
3.1120 0.0000 3.1120
3.1120 3.1120 0.0000
Re Ni Se
1 1 2
direct
0.0000 0.0000 0.0000
0.5000 0.5000 0.5000
0.2500 0.2500 0.2500
0.7500 0.7500 0.7500
```

Total moment: 0.83 μB/f.u.
ρ: 11.10 Mg/m³
Symmetry: Fm-3m
N(E_F): 3.4 states/eV/cell

=====

two.
The following is a DFT calculation (PBE) of crystalline ReNiSe2 at its relaxed geometry.

POSCAR file:
```
ReNiSe2
1.0
0.0000 3.1562 3.1562
3.1562 0.0000 3.1562
3.1562 3.1562 0.0000
Re Ni Se
1 1 2
direct
0.0000 0.0000 0.0000
0.2500 0.2500 0.2500
0.5000 0.5000 0.5000
0.7500 0.7500 0.7500
```

Total moment: 0.35 μB/f.u.
ρ: 10.64 Mg/m³
Symmetry: F-43m
N(E_F): 5.7 states/eV/cell

=====

three.
The following is a DFT calculation (PBE) of crystalline ReNiSe2 at its relaxed geometry.

POSCAR file:
```
ReNiSe2
1.0
1.5190 -2.7192 0.0000
1.5190 2.7192 0.0000
0.0000 0.0000 7.9597
Re Ni Se
1 1 2
direct
0.0000 0.0000 0.0000
0.0000 0.0000 0.5000
0.5000 0.5000 0.2569
0.5000 0.5000 0.7431
```

Total moment: 0.00 μB/f.u.
ρ: 10.17 Mg/m³
Symmetry: Cmmm
N(E_F): 4.7 states/eV/cell

=====

Relative energies, eV/atom: one 0.000; two 0.521; three 0.251.